(1)
Here is crystalline FeCu2SbO6 at its relaxed geometry from Alexandria via LeMat-Bulk. Energies are from PBE with a Hubbard U.

a = 5.196 Å, b = 5.196 Å, c = 5.551 Å
α = 62.05°, β = 62.05°, γ = 60.00°
Sites, in units of the cell vectors:
O: 0.710 0.106 0.759
O: 0.425 0.710 0.760
O: 0.603 0.211 0.253
O: 0.106 0.425 0.759
O: 0.211 0.933 0.253
O: 0.933 0.603 0.253
Cu: 0.018 0.018 0.946
Cu: 0.524 0.524 0.428
Fe: 0.813 0.813 0.560
Sb: 0.319 0.319 0.044

Calculated total energy   -57.7 eV per formula unit


(2)
Here is crystalline FeCuSe2O8 at its relaxed geometry from Alexandria via LeMat-Bulk. Energies are from PBE with a Hubbard U.

a = 5.723 Å, b = 5.723 Å, c = 5.723 Å
α = 106.76°, β = 106.76°, γ = 115.03°
Sites, in units of the cell vectors:
Fe: 0.250 0.750 0.500
Se: 0.750 0.250 0.500
Se: 0.500 0.500 0.000
O: 0.380 0.065 0.314
O: 0.935 0.620 0.686
O: 0.935 0.249 0.314
O: 0.751 0.065 0.686
O: 0.326 0.136 0.809
O: 0.326 0.517 0.191
O: 0.483 0.674 0.809
O: 0.864 0.674 0.191
Cu: 0.000 0.000 0.000

Calculated total energy   -63.4 eV per formula unit


(3)
Here is crystalline Sr3Fe2Cu2Se2O5 at its relaxed geometry from Alexandria via LeMat-Bulk. Energies are from PBE with a Hubbard U.

a = 4.006 Å, b = 4.006 Å, c = 13.897 Å
α = 81.72°, β = 98.28°, γ = 90.00°
Sites, in units of the cell vectors:
Sr: 0.500 0.500 0.000
Sr: 0.363 0.637 0.724
Sr: 0.637 0.363 0.276
Se: 0.193 0.807 0.388
Se: 0.807 0.193 0.612
O: 0.420 0.080 0.840
O: 0.920 0.580 0.840
O: 0.580 0.920 0.160
O: 0.000 0.000 0.000
O: 0.080 0.420 0.160
Cu: 0.750 0.750 0.500
Cu: 0.250 0.250 0.500
Fe: 0.070 0.930 0.141
Fe: 0.930 0.070 0.859

Calculated total energy   -79.8 eV per formula unit


(4)
Here is crystalline Sm2FeCuO6 at its relaxed geometry from Alexandria via LeMat-Bulk. Energies are from PBE with a Hubbard U.

a = 5.391 Å, b = 5.653 Å, c = 7.710 Å
α = 90.00°, β = 89.68°, γ = 90.00°
Sites, in units of the cell vectors:
O: 0.096 0.472 0.751
O: 0.202 0.199 0.451
O: 0.801 0.796 0.949
O: 0.798 0.801 0.549
O: 0.904 0.528 0.249
O: 0.699 0.296 0.551
O: 0.702 0.301 0.951
O: 0.199 0.204 0.051
O: 0.596 0.028 0.251
O: 0.298 0.699 0.049
O: 0.301 0.704 0.449
O: 0.404 0.972 0.749
Sm: 0.984 0.064 0.750
Sm: 0.516 0.564 0.750
Sm: 0.016 0.936 0.250
Sm: 0.484 0.436 0.250
Cu: 0.000 0.500 0.500
Cu: 0.500 0.000 0.000
Fe: 0.000 0.500 0.000
Fe: 0.500 0.000 0.500

Calculated total energy   -71.3 eV per formula unit


(5)
Here is crystalline FeCuSnO2 at its relaxed geometry from Alexandria via LeMat-Bulk. Energies are from PBE with a Hubbard U.

a = 3.754 Å, b = 3.754 Å, c = 5.925 Å
α = 90.00°, β = 90.00°, γ = 90.00°
Sites, in units of the cell vectors:
Sn: 0.000 0.000 0.500
O: 0.500 0.000 0.000
O: 0.000 0.500 0.000
Fe: 0.000 0.000 0.000
Cu: 0.500 0.500 0.500

Calculated total energy   -24.5 eV per formula unit


(6)
Here is crystalline FeCuSnO4 at its relaxed geometry from Alexandria via LeMat-Bulk. Energies are from PBE with a Hubbard U.

a = 6.024 Å, b = 6.145 Å, c = 6.145 Å
α = 61.60°, β = 60.65°, γ = 60.65°
Sites, in units of the cell vectors:
O: 0.754 0.763 0.263
O: 0.780 0.237 0.737
O: 0.246 0.237 0.737
O: 0.241 0.788 0.730
O: 0.241 0.230 0.288
O: 0.759 0.212 0.270
O: 0.759 0.770 0.712
O: 0.220 0.763 0.263
Fe: 0.500 0.000 0.500
Fe: 0.000 0.000 0.500
Cu: 0.643 0.607 0.107
Cu: 0.357 0.393 0.893
Sn: 0.000 0.000 0.000
Sn: 0.000 0.500 0.500

Calculated total energy   -40.8 eV per formula unit


(7)
Here is crystalline Sr4Fe3CuO12 at its relaxed geometry from Alexandria via LeMat-Bulk. Energies are from PBE with a Hubbard U.

a = 6.765 Å, b = 6.765 Å, c = 6.765 Å
α = 109.47°, β = 109.47°, γ = 109.47°
Sites, in units of the cell vectors:
O: 0.750 0.250 0.500
O: 0.500 0.250 0.750
O: 0.500 0.750 0.250
O: 0.749 0.000 0.749
O: 0.251 0.000 0.251
O: 0.250 0.500 0.750
O: 0.000 0.749 0.749
O: 0.251 0.251 0.000
O: 0.000 0.251 0.251
O: 0.750 0.500 0.250
O: 0.749 0.749 0.000
O: 0.250 0.750 0.500
Fe: 0.500 0.500 0.000
Fe: 0.500 0.000 0.500
Fe: 0.000 0.500 0.500
Sr: 0.500 0.000 0.000
Sr: 0.000 0.000 0.500
Sr: 0.500 0.500 0.500
Sr: 0.000 0.500 0.000
Cu: 0.000 0.000 0.000

Calculated total energy   -122.4 eV per formula unit


(8)
Here is crystalline Sr2FeCu2O6 at its relaxed geometry from Alexandria via LeMat-Bulk. Energies are from PBE with a Hubbard U.

a = 5.775 Å, b = 5.775 Å, c = 6.233 Å
α = 62.41°, β = 62.41°, γ = 60.00°
Sites, in units of the cell vectors:
O: 0.779 0.235 0.751
O: 0.765 0.221 0.249
O: 0.765 0.765 0.249
O: 0.221 0.765 0.249
O: 0.235 0.235 0.751
O: 0.235 0.779 0.751
Cu: 0.415 0.415 0.754
Cu: 0.585 0.585 0.246
Fe: 0.000 0.000 0.000
Sr: 0.214 0.214 0.357
Sr: 0.786 0.786 0.643

Calculated total energy   -63.1 eV per formula unit


(9)
Here is crystalline Sr3Fe2CuO9 at its relaxed geometry from Alexandria via LeMat-Bulk. Energies are from PBE with a Hubbard U.

a = 5.529 Å, b = 5.529 Å, c = 6.765 Å
α = 90.00°, β = 90.00°, γ = 120.00°
Sites, in units of the cell vectors:
O: 0.666 0.833 0.332
O: 0.833 0.666 0.668
O: 0.334 0.167 0.668
O: 0.167 0.833 0.332
O: 0.000 0.500 0.000
O: 0.167 0.334 0.332
O: 0.833 0.167 0.668
O: 0.500 0.000 0.000
O: 0.500 0.500 0.000
Sr: 0.667 0.333 0.338
Sr: 0.333 0.667 0.662
Sr: 0.000 0.000 0.000
Cu: 0.000 0.000 0.500
Fe: 0.667 0.333 0.832
Fe: 0.333 0.667 0.168

Calculated total energy   -90.4 eV per formula unit


(10)
Here is crystalline Sr3FeCu2O9 at its relaxed geometry from Alexandria via LeMat-Bulk. Energies are from PBE with a Hubbard U.

a = 5.514 Å, b = 5.514 Å, c = 6.740 Å
α = 90.00°, β = 90.00°, γ = 120.00°
Sites, in units of the cell vectors:
O: 0.666 0.833 0.335
O: 0.833 0.167 0.665
O: 0.167 0.833 0.335
O: 0.500 0.500 0.000
O: 0.000 0.500 0.000
O: 0.833 0.666 0.665
O: 0.334 0.167 0.665
O: 0.500 0.000 0.000
O: 0.167 0.334 0.335
Sr: 0.333 0.667 0.670
Sr: 0.667 0.333 0.330
Sr: 0.000 0.000 0.000
Cu: 0.333 0.667 0.166
Cu: 0.667 0.333 0.834
Fe: 0.000 0.000 0.500

Calculated total energy   -86.2 eV per formula unit


(11)
Here is crystalline Sr6Y3FeCu8O22 at its relaxed geometry from Alexandria via LeMat-Bulk. Energies are from PBE with a Hubbard U.

a = 3.756 Å, b = 11.662 Å, c = 12.189 Å
α = 71.40°, β = 90.00°, γ = 90.00°
Sites, in units of the cell vectors:
O: 0.500 0.209 0.377
O: 0.500 0.873 0.379
O: 0.000 0.719 0.837
O: 0.000 0.611 0.163
O: 0.000 0.043 0.373
O: 0.500 0.540 0.377
O: 0.500 0.460 0.623
O: 0.000 0.056 0.832
O: 0.000 0.389 0.837
O: 0.000 0.957 0.627
O: 0.000 0.708 0.374
O: 0.500 0.791 0.623
O: 0.000 0.500 0.000
O: 0.500 0.127 0.621
O: 0.000 0.178 0.000
O: 0.000 0.624 0.629
O: 0.000 0.822 0.000
O: 0.000 0.944 0.168
O: 0.000 0.292 0.626
O: 0.500 0.000 0.000
O: 0.000 0.281 0.163
O: 0.000 0.376 0.371
Cu: 0.000 0.552 0.346
Cu: 0.000 0.884 0.347
Cu: 0.000 0.337 0.000
Cu: 0.000 0.448 0.654
Cu: 0.000 0.782 0.655
Cu: 0.000 0.218 0.345
Cu: 0.000 0.116 0.653
Cu: 0.000 0.663 0.000
Y: 0.500 0.667 0.499
Y: 0.500 0.333 0.501
Y: 0.500 0.000 0.500
Sr: 0.500 0.106 0.171
Sr: 0.500 0.894 0.829
Sr: 0.500 0.780 0.170
Sr: 0.500 0.560 0.819
Sr: 0.500 0.440 0.181
Sr: 0.500 0.220 0.830
Fe: 0.000 0.000 0.000

Calculated total energy   -251.5 eV per formula unit


(12)
Here is crystalline Sr4Y2Fe2Cu4O15 at its relaxed geometry from Alexandria via LeMat-Bulk. Energies are from PBE with a Hubbard U.

a = 12.027 Å, b = 12.012 Å, c = 5.479 Å
α = 76.97°, β = 76.67°, γ = 26.35°
Sites, in units of the cell vectors:
O: 0.186 0.186 0.314
O: 0.821 0.821 0.179
O: 0.787 0.375 0.213
O: 0.213 0.625 0.787
O: 0.179 0.179 0.821
O: 0.000 0.000 0.000
O: 0.686 0.686 0.814
O: 0.625 0.213 0.375
O: 0.694 0.694 0.306
O: 0.314 0.314 0.186
O: 0.000 0.000 0.500
O: 0.306 0.306 0.694
O: 0.500 0.500 0.000
O: 0.814 0.814 0.686
O: 0.375 0.787 0.625
Cu: 0.572 0.079 0.428
Cu: 0.079 0.572 0.921
Cu: 0.921 0.428 0.079
Cu: 0.428 0.921 0.572
Fe: 0.244 0.756 0.756
Fe: 0.756 0.244 0.244
Sr: 0.847 0.331 0.669
Sr: 0.669 0.153 0.847
Sr: 0.153 0.669 0.331
Sr: 0.331 0.847 0.153
Y: 0.000 0.500 0.500
Y: 0.500 0.000 0.000

Calculated total energy   -173.9 eV per formula unit


What did the eighth record say?
Here is crystalline Sr2FeCu2O6 at its relaxed geometry from Alexandria via LeMat-Bulk. Energies are from PBE with a Hubbard U.

a = 5.775 Å, b = 5.775 Å, c = 6.233 Å
α = 62.41°, β = 62.41°, γ = 60.00°
Sites, in units of the cell vectors:
O: 0.779 0.235 0.751
O: 0.765 0.221 0.249
O: 0.765 0.765 0.249
O: 0.221 0.765 0.249
O: 0.235 0.235 0.751
O: 0.235 0.779 0.751
Cu: 0.415 0.415 0.754
Cu: 0.585 0.585 0.246
Fe: 0.000 0.000 0.000
Sr: 0.214 0.214 0.357
Sr: 0.786 0.786 0.643

Calculated total energy   -63.1 eV per formula unit


Q: What is the formula in the first record?
A: FeCu2SbO6